[1]
Here is a relaxed TbYTh crystal from Alexandria. Energies are from GGA-PBE.

Cell and atoms, written as CIF:
```
data_TbYTh
_space_group_name_H-M_alt 'P 3 m 1'
_space_group_IT_number 156
_cell_length_a 3.5828
_cell_length_b 3.5828
_cell_length_c 8.6995
_cell_angle_alpha 90.00
_cell_angle_beta 90.00
_cell_angle_gamma 120.00
loop_
_space_group_symop_operation_xyz
'x,y,z'
'-y,x-y,z'
'-x+y,-x,z'
'-y,-x,z'
'-x+y,y,z'
'x,x-y,z'
loop_
_atom_site_label
_atom_site_type_symbol
_atom_site_fract_x
_atom_site_fract_y
_atom_site_fract_z
_atom_site_occupancy
Tb1 Tb 0.0000 0.0000 0.0000 1
Y1 Y 0.6667 0.3333 0.3472 1
Th1 Th 0.3333 0.6667 0.6746 1
```

magnetic moment	0.0000	μB/atom
formation energy from the elements	0.02	eV/atom

=====

[2]
Here is a relaxed Tb2Y4Th crystal from Alexandria. Energies are from GGA-PBE.

Cell and atoms, written as CIF:
```
data_Tb2Y4Th
_space_group_name_H-M_alt 'C 1 m 1'
_space_group_IT_number 8
_cell_length_a 6.252
_cell_length_b 3.610
_cell_length_c 20.235
_cell_angle_alpha 90.00
_cell_angle_beta 95.93
_cell_angle_gamma 90.00
loop_
_space_group_symop_operation_xyz
'x,y,z'
'x,-y,z'
'x+1/2,y+1/2,z'
'x+1/2,-y+1/2,z'
loop_
_atom_site_label
_atom_site_type_symbol
_atom_site_fract_x
_atom_site_fract_y
_atom_site_fract_z
_atom_site_occupancy
Tb1 Tb 0.000 0.000 0.000 1
Tb2 Tb 0.094 0.000 0.284 1
Y1 Y 0.190 0.000 0.569 1
Y2 Y 0.213 0.500 0.142 1
Y3 Y 0.286 0.000 0.857 1
Y4 Y 0.308 0.500 0.426 1
Th1 Th 0.405 0.500 0.713 1
```

magnetic moment	0.0011	μB/atom
formation energy from the elements	0.02	eV/atom

=====

[3]
Here is a relaxed Tb3Y2Th2 crystal from Alexandria. Energies are from GGA-PBE.

Cell and atoms, written as CIF:
```
data_Tb3Y2Th2
_space_group_name_H-M_alt 'C 1 2/m 1'
_space_group_IT_number 12
_cell_length_a 17.475
_cell_length_b 3.455
_cell_length_c 8.618
_cell_angle_alpha 90.00
_cell_angle_beta 119.14
_cell_angle_gamma 90.00
loop_
_space_group_symop_operation_xyz
'x,y,z'
'-x,-y,-z'
'-x,y,-z'
'x,-y,z'
'x+1/2,y+1/2,z'
'-x+1/2,-y+1/2,-z'
'-x+1/2,y+1/2,-z'
'x+1/2,-y+1/2,z'
loop_
_atom_site_label
_atom_site_type_symbol
_atom_site_fract_x
_atom_site_fract_y
_atom_site_fract_z
_atom_site_occupancy
Tb1 Tb 0.000 0.000 0.000 1
Tb2 Tb 0.216 0.000 0.134 1
Y1 Y 0.064 0.500 0.720 1
Th1 Th 0.152 0.000 0.458 1
```

magnetic moment	0.0000	μB/atom
formation energy from the elements	0.14	eV/atom

=====

- Which of these has the highest formation energy from the elements?
  Tb3Y2Th2

=====

- Look up the magnetic moment of the first one.
  0.0000 μB/atom

=====

- Which of these has the highest magnetic moment?
  Tb2Y4Th